No. 1
Here is PuNi6Ge6 after structural relaxation from the Alexandria database. Energies are from PBE-GGA.

Structure (POSCAR):
```
PuNi6Ge6
1.0
-2.577 3.995 4.457
2.577 -3.995 4.457
2.577 3.995 -4.457
Pu Ni Ge
1 6 6
direct
0.000 0.000 0.000
0.000 0.000 0.500
0.000 0.500 0.000
0.259 0.500 0.759
0.500 0.000 0.000
0.500 0.500 0.500
0.741 0.500 0.241
0.166 0.666 0.500
0.334 0.334 0.000
0.346 0.000 0.346
0.654 0.000 0.654
0.666 0.666 0.000
0.834 0.334 0.500
```

total energy	-6.24	eV/atom
DFT formation energy	-338.8	meV per atom

***

No. 2
Here is La5Ga5Cu2 after structural relaxation from the Alexandria database. Energies are from PBE-GGA.

Structure (POSCAR):
```
La5Ga5Cu2
1.0
7.891 -2.135 0.000
7.891 2.135 0.000
-7.183 0.000 8.999
La Ga Cu
5 5 2
direct
0.000 0.000 0.000
0.293 0.293 0.401
0.374 0.374 0.191
0.626 0.626 0.809
0.707 0.707 0.599
0.000 0.000 0.500
0.067 0.067 0.340
0.309 0.309 0.872
0.691 0.691 0.128
0.933 0.933 0.660
0.402 0.402 0.749
0.598 0.598 0.251
```

total energy	-4.46	eV/atom
DFT formation energy	-467.3	meV per atom

***

No. 3
Here is LaW4Au after structural relaxation from the Alexandria database. Energies are from PBE-GGA.

Structure (POSCAR):
```
LaW4Au
1.0
0.000 3.891 3.891
3.891 0.000 3.891
3.891 3.891 0.000
La W Au
1 4 1
direct
0.000 0.000 0.000
0.123 0.626 0.626
0.626 0.123 0.626
0.626 0.626 0.123
0.626 0.626 0.626
0.250 0.250 0.250
```

total energy	-9.43	eV/atom
DFT formation energy	569.4	meV per atom

***

No. 4
Here is ZnMoRh2 after structural relaxation from the Alexandria database. Energies are from PBE-GGA.

Structure (POSCAR):
```
ZnMoRh2
1.0
2.792 0.000 0.000
0.000 2.792 0.000
0.000 0.000 7.435
Zn Mo Rh
1 1 2
direct
0.000 0.000 0.000
0.500 0.500 0.263
0.000 0.000 0.510
0.500 0.500 0.773
```

total energy	-6.75	eV/atom
DFT formation energy	-50.1	meV per atom

***

No. 5
Here is Na3CuAg after structural relaxation from the Alexandria database. Energies are from PBE-GGA.

Structure (POSCAR):
```
Na3CuAg
1.0
5.541 0.000 0.000
0.000 5.541 0.000
0.000 0.000 5.541
Na Cu Ag
3 1 1
direct
0.000 0.000 0.500
0.000 0.500 0.000
0.500 0.000 0.000
0.500 0.500 0.500
0.000 0.000 0.000
```

total energy	-1.72	eV/atom
DFT formation energy	458.5	meV per atom
ΔE to the lowest computed polymorph	88	meV per atom

***

No. 6
Here is Ce3PmPt8 after structural relaxation from the Alexandria database. Energies are from PBE-GGA.

Structure (POSCAR):
```
Ce3PmPt8
1.0
2.747 1.586 8.970
-2.747 1.586 8.970
0.000 -3.171 8.970
Ce Pm Pt
3 1 8
direct
0.000 0.000 0.000
0.125 0.125 0.125
0.628 0.628 0.628
0.502 0.502 0.502
0.064 0.064 0.563
0.064 0.563 0.064
0.064 0.564 0.564
0.314 0.314 0.314
0.563 0.064 0.064
0.564 0.064 0.564
0.564 0.564 0.064
0.814 0.814 0.814
```

total energy	-6.94	eV/atom
DFT formation energy	-1033.8	meV per atom
ΔE to the lowest computed polymorph	0	meV per atom

***

Q: What is the formula in the sixth record?
A: Ce3PmPt8